This record from Alexandria describes a PBEsol-optimized structure of BeTc2Os. The functional is meta-GGA SCAN.

Cell: 2.630 2.630 8.293 Å, 90.00 90.00 115.25°
Fractional positions:
Os  0.500  0.500  0.271
Be  0.000  0.000  0.499
Tc  0.500  0.500  0.733
Tc  0.000  0.000  0.997

Properties
ΔE_f = 0.18 eV per atom
Total DFT energy (no corrections) = -145.62 eV/f.u.
Space-group type = Cmm2 (35)
Volume = 13.0 A^3/atom